! NaCa2La | Alexandria | PBE | optimized geometry; values from VASP
! Crystal system ... tetragonal
! E above lowest polymorph ... 288 meV per atom
! Formation energy from the elements ... 1.42 eV/f.u.
&SYSTEM
  ibrav = 0, nat = 8, ntyp = 3
/
ATOMIC_SPECIES
Na 22.99 Na.upf
Ca 40.08 Ca.upf
La 138.91 La.upf
CELL_PARAMETERS angstrom
-1.090 7.332 -5.650
-4.553 -5.379 -6.101
-5.959 1.773 -4.237
ATOMIC_POSITIONS crystal
Na 0.500 0.500 0.000
Na 0.250 0.750 0.500
Ca 0.595 0.125 0.250
Ca 0.155 0.625 0.250
Ca 0.375 0.405 0.750
Ca 0.875 0.845 0.750
La 0.000 0.000 0.000
La 0.750 0.250 0.500